Entry 1:
This record from Alexandria describes an optimized crystal structure of La6In2TcRu. The functional is PBE.

Calculated values
space-group type = No. 1
electronic total energy = -57.3 eV for the cell shown
formation energy from the elements = -0.26 eV/atom
calculated volume = 32.5 Å³ per atom

a b c (Å): 7.686 7.686 7.721
angles (deg): 119.69 119.52 90.32
Fractional coordinates of all 10 atoms:
La1 0.000 0.000 0.000
La2 0.036 0.542 0.499
La3 0.455 0.958 0.503
La4 0.497 0.501 0.004
La5 0.538 0.463 0.505
La6 0.947 0.044 0.498
In1 0.000 0.499 0.004
In2 0.497 0.997 0.006
Tc1 0.773 0.737 0.541
Ru1 0.256 0.255 0.523

Entry 2:
This record from Alexandria describes an optimized crystal structure of La2InTeRu. The functional is PBE.

Calculated values
space-group type = No. 123
electronic total energy = -28.6 eV for the cell shown
formation energy from raw total energies = -0.7123 eV/atom
calculated volume = 30.5 Å³ per atom

a b c (Å): 5.430 5.430 5.171
angles (deg): 90.00 90.00 90.00
Fractional coordinates of all 5 atoms:
La1 0.000 0.500 0.000
La2 0.500 0.000 0.000
In1 0.000 0.000 0.500
Te1 0.500 0.500 0.500
Ru1 0.000 0.000 0.000

Entry 3:
This record from Alexandria describes an optimized crystal structure of LaTmInRu. The functional is PBE.

Calculated values
space-group type = No. 216
electronic total energy = -89.8 eV for the cell shown
formation energy from the elements = -0.26 eV/atom
calculated volume = 24.3 Å³ per atom

a b c (Å): 7.301 7.301 7.301
angles (deg): 90.00 90.00 90.00
Fractional coordinates of all 16 atoms:
La1 0.000 0.000 0.000
La2 0.000 0.500 0.500
La3 0.500 0.000 0.500
La4 0.500 0.500 0.000
Tm1 0.000 0.000 0.500
Tm2 0.000 0.500 0.000
Tm3 0.500 0.000 0.000
Tm4 0.500 0.500 0.500
In1 0.250 0.250 0.250
In2 0.250 0.750 0.750
In3 0.750 0.250 0.750
In4 0.750 0.750 0.250
Ru1 0.250 0.250 0.750
Ru2 0.250 0.750 0.250
Ru3 0.750 0.250 0.250
Ru4 0.750 0.750 0.750

Entry 4:
This record from Alexandria describes an optimized crystal structure of La2VInRu. The functional is PBE.

Calculated values
space-group type = No. 123
electronic total energy = -27.0 eV for the cell shown
formation energy from the elements = 0.79 eV/atom
calculated volume = 27.3 Å³ per atom

a b c (Å): 5.171 5.171 5.099
angles (deg): 90.00 90.00 90.00
Fractional coordinates of all 5 atoms:
La1 0.000 0.500 0.000
La2 0.500 0.000 0.000
V1 0.000 0.000 0.000
In1 0.000 0.000 0.500
Ru1 0.500 0.500 0.500

Entry 5:
This record from Alexandria describes an optimized crystal structure of LaY2InRu. The functional is PBE.

Calculated values
space-group type = No. 123
electronic total energy = -31.0 eV for the cell shown
formation energy from the elements = -0.23 eV/atom
calculated volume = 30.7 Å³ per atom

a b c (Å): 5.398 5.398 5.265
angles (deg): 90.00 90.00 90.00
Fractional coordinates of all 5 atoms:
La1 0.000 0.000 0.000
Y1 0.000 0.500 0.500
Y2 0.500 0.000 0.500
In1 0.500 0.500 0.000
Ru1 0.000 0.000 0.500

Entry 6:
This record from Alexandria describes an optimized crystal structure of LaY2InRu. The functional is PBE.

Calculated values
space-group type = No. 123
electronic total energy = -30.4 eV for the cell shown
formation energy from the elements = -0.10 eV/atom
calculated volume = 33.9 Å³ per atom

a b c (Å): 5.496 5.496 5.604
angles (deg): 90.00 90.00 90.00
Fractional coordinates of all 5 atoms:
La1 0.000 0.000 0.000
Y1 0.000 0.500 0.500
Y2 0.500 0.000 0.500
In1 0.500 0.500 0.000
Ru1 0.500 0.500 0.500

Entry 7:
This record from Alexandria describes an optimized crystal structure of La2YInRu. The functional is PBE.

Calculated values
space-group type = No. 123
electronic total energy = -29.7 eV for the cell shown
formation energy from the elements = -0.28 eV/atom
calculated volume = 31.8 Å³ per atom

a b c (Å): 5.389 5.389 5.481
angles (deg): 90.00 90.00 90.00
Fractional coordinates of all 5 atoms:
La1 0.000 0.500 0.000
La2 0.500 0.000 0.000
Y1 0.000 0.000 0.500
In1 0.500 0.500 0.500
Ru1 0.000 0.000 0.000

Entry 8:
This record from Alexandria describes an optimized crystal structure of La2ZnInRu. The functional is PBE.

Calculated values
space-group type = No. 123
electronic total energy = -24.2 eV for the cell shown
formation energy from the elements = -0.21 eV/atom
calculated volume = 30.6 Å³ per atom

a b c (Å): 5.394 5.394 5.254
angles (deg): 90.00 90.00 90.00
Fractional coordinates of all 5 atoms:
La1 0.000 0.500 0.000
La2 0.500 0.000 0.000
Zn1 0.000 0.000 0.500
In1 0.500 0.500 0.500
Ru1 0.500 0.500 0.000

Among the records above, which one has the highest electronic total energy?
La2ZnInRu